(1)
This record from Alexandria via LeMat-Bulk describes crystalline Th2NiAu3 at its relaxed geometry. The functional is PBE.

The total magnetization is 0.000 μB/cell. The energy of formation comes out at -0.60 eV/atom.

It has space group Fmmm (No. 69), with a = 7.137 Å, b = 9.628 Å, c = 15.621 Å, α = 90.00°, β = 90.00° and γ = 90.00°. The inequivalent atoms are Th at (0.246, 0.000, 0.000), Th at (0.250, 0.250, 0.250), Ni at (0.000, 0.000, 0.150), Au at (0.000, 0.000, 0.320) and Au at (0.000, 0.249, 0.088).

(2)
This record from Alexandria via LeMat-Bulk describes crystalline RbZrSeO5 at its relaxed geometry. The functional is PBE.

The energy relative to the elements, uncorrected is -1.741 eV per atom. The total magnetization is 0.000 μB/cell.

It has space group C2/c (No. 15), with a = 7.515 Å, b = 9.913 Å, c = 7.842 Å, α = 90.00°, β = 114.90° and γ = 90.00°. The inequivalent atoms are Rb at (0.000, 0.170, 0.250), Zr at (0.000, 0.500, 0.000), Se at (0.000, 0.188, 0.750), O at (0.000, 0.444, 0.250), O at (0.084, 0.295, 0.614) and O at (0.198, 0.079, 0.902).

| no. | E (eV per atom) |
| --- | --- |
| 1 | -5.678 |
| 2 | -6.464 |